Al2GeB | GGA-PBE | optimized geometry

a b c (Å): 3.7369 3.7369 20.7210
angles (deg): 90.00 90.00 120.00
With the nearest neighbours (Å) after each atom.
Space group R-3m (No. 166, hexagonal axes)
Inequivalent atoms, fractional coordinates:
Al 0.0000 0.0000 0.1005 (multiplicity 6)  1 B 2.08
Ge 0.0000 0.0000 0.5000 (multiplicity 3)  6 Al 2.56
B 0.0000 0.0000 0.0000 (multiplicity 3)  2 Al 2.08

Results
DOS(E_F) in states/eV/atom: 0.50
E_form in kJ/mol of formula units: 336
Polymorph energy (0 for the lowest one) in meV per atom: 336